BaThP (PBE-GGA, optimized geometry); VASP energy = -49.98 eV for the cell shown; size of the total moment = 1.16 μB per cell
1.0
-0.811 2.624 3.121
-2.539 -0.168 -3.288
-11.716 -15.311 9.828
P Th Ba
3 3 3
Direct
0.667 0.333 0.258 P
0.333 0.667 0.411 P
0.667 0.333 0.751 P
0.000 0.000 0.683 Th
0.000 0.000 0.004 Th
0.000 0.000 0.333 Th
0.333 0.667 0.162 Ba
0.667 0.333 0.504 Ba
0.333 0.667 0.850 Ba